Version 1
A geometry-optimized AcSiOs structure. Source: Alexandria via LeMat-Bulk, functional PBE-GGA.

a = 4.291 Å, b = 4.291 Å, c = 7.633 Å
α = 90.00°, β = 90.00°, γ = 90.00°
Element x y z (fractional)
Si (0.314, 0.366, 0.765)
Si (0.814, 0.866, 0.074)
Os (0.814, 0.366, 0.920)
Os (0.314, 0.866, 0.920)
Ac (0.314, 0.366, 0.234)
Ac (0.814, 0.866, 0.606)

Values from the calculation:
- Calculated density: 10.52 g/cm³

Version 2
A geometry-optimized AcSiOs structure. Source: Alexandria via LeMat-Bulk, functional PBE-GGA.

a = 4.680 Å, b = 4.167 Å, c = 4.167 Å
α = 120.00°, β = 90.00°, γ = 90.00°
Element x y z (fractional)
Ac (0.667, 0.667, 0.333)
Os (0.167, 0.333, 0.667)
Si (0.167, 0.000, 0.000)

Values from the calculation:
- Calculated density: 10.51 g/cm³

Version 3
A geometry-optimized AcSiOs structure. Source: Alexandria via LeMat-Bulk, functional PBE-GGA.

a = 3.734 Å, b = 6.127 Å, c = 5.883 Å
α = 90.00°, β = 90.00°, γ = 107.74°
Element x y z (fractional)
Os (0.000, 0.000, 0.500)
Os (0.000, 0.000, 0.000)
Ac (0.310, 0.621, 0.750)
Ac (0.690, 0.379, 0.250)
Si (0.422, 0.843, 0.250)
Si (0.578, 0.157, 0.750)

Values from the calculation:
- Calculated density: 11.54 g/cm³

Each structure's energy above the most stable one, in meV per atom: version 1 0; version 2 156; version 3 214.

Version 1
A geometry-optimized AcSi3Os structure. Source: Alexandria via LeMat-Bulk, functional PBE-GGA.

a = 5.475 Å, b = 6.350 Å, c = 6.350 Å
α = 90.00°, β = 90.00°, γ = 90.00°
Element x y z (fractional)
Si (0.507, 0.794, 0.489)
Si (0.007, 0.559, 0.989)
Si (0.507, 0.794, 0.913)
Si (0.326, 0.356, 0.201)
Si (0.007, 0.559, 0.413)
Si (0.826, 0.997, 0.701)
Os (0.151, 0.765, 0.701)
Os (0.651, 0.587, 0.201)
Ac (0.887, 0.066, 0.201)
Ac (0.387, 0.286, 0.701)

Values from the calculation:
- Calculated density: 7.54 g/cm³

Version 2
A geometry-optimized AcSi3Os structure. Source: Alexandria via LeMat-Bulk, functional PBE-GGA.

a = 4.375 Å, b = 4.375 Å, c = 5.907 Å
α = 111.74°, β = 111.74°, γ = 90.00°
Element x y z (fractional)
Ac (0.001, 0.001, 0.002)
Si (0.259, 0.759, 0.519)
Si (0.416, 0.416, 0.832)
Si (0.759, 0.259, 0.519)
Os (0.655, 0.655, 0.309)

Values from the calculation:
- Calculated density: 8.65 g/cm³

Each structure's energy above the most stable one, in meV per atom: version 1 203; version 2 0.

Version 1
A geometry-optimized AcSmOs structure. Source: Alexandria via LeMat-Bulk, functional PBE-GGA.

a = 6.683 Å, b = 7.813 Å, c = 7.507 Å
α = 90.00°, β = 90.00°, γ = 115.32°
Element x y z (fractional)
Sm (0.279, 0.059, 0.250)
Sm (0.779, 0.059, 0.250)
Sm (0.221, 0.941, 0.750)
Sm (0.721, 0.941, 0.750)
Ac (0.697, 0.394, 0.893)
Ac (0.303, 0.606, 0.107)
Ac (0.803, 0.606, 0.393)
Ac (0.197, 0.394, 0.607)
Os (0.890, 0.779, 0.042)
Os (0.110, 0.221, 0.958)
Os (0.390, 0.779, 0.458)
Os (0.610, 0.221, 0.542)

Values from the calculation:
- Calculated density: 10.64 g/cm³

Version 2
A geometry-optimized AcSmOs structure. Source: Alexandria via LeMat-Bulk, functional PBE-GGA.

a = 4.059 Å, b = 7.054 Å, c = 7.514 Å
α = 118.00°, β = 105.67°, γ = 90.00°
Element x y z (fractional)
Ac (0.720, 0.720, 0.440)
Ac (0.280, 0.280, 0.560)
Sm (0.000, 0.234, 0.000)
Sm (0.000, 0.766, 0.000)
Os (0.609, 0.109, 0.219)
Os (0.391, 0.891, 0.781)

Values from the calculation:
- Calculated density: 10.42 g/cm³

Version 3
A geometry-optimized AcSmOs structure. Source: Alexandria via LeMat-Bulk, functional PBE-GGA.

a = 3.583 Å, b = 3.583 Å, c = 7.525 Å
α = 103.77°, β = 103.77°, γ = 90.00°
Element x y z (fractional)
Os (0.660, 0.660, 0.321)
Sm (0.047, 0.047, 0.095)
Ac (0.292, 0.292, 0.584)

Values from the calculation:
- Calculated density: 10.36 g/cm³

Version 4
A geometry-optimized AcSmOs structure. Source: Alexandria via LeMat-Bulk, functional PBE-GGA.

a = 5.029 Å, b = 5.029 Å, c = 5.029 Å
α = 60.00°, β = 60.00°, γ = 60.00°
Element x y z (fractional)
Os (0.250, 0.250, 0.250)
Ac (0.500, 0.500, 0.500)
Sm (0.000, 0.000, 0.000)

Values from the calculation:
- Calculated density: 10.48 g/cm³

Each structure's energy above the most stable one, in meV per atom: version 1 28; version 2 45; version 3 78; version 4 0.

Version 1
A geometry-optimized Ac3SnOs structure. Source: Alexandria via LeMat-Bulk, functional PBE-GGA.

a = 5.727 Å, b = 5.727 Å, c = 5.727 Å
α = 90.00°, β = 90.00°, γ = 90.00°
Element x y z (fractional)
Sn (0.500, 0.500, 0.500)
Os (0.000, 0.000, 0.000)
Ac (0.500, 0.000, 0.000)
Ac (0.000, 0.000, 0.500)
Ac (0.000, 0.500, 0.000)

Values from the calculation:
- Calculated density: 8.75 g/cm³

Version 2
A geometry-optimized Ac3SnOs structure. Source: Alexandria via LeMat-Bulk, functional PBE-GGA.

a = 4.716 Å, b = 8.468 Å, c = 9.474 Å
α = 85.31°, β = 90.00°, γ = 73.83°
Element x y z (fractional)
Os (0.850, 0.656, 0.149)
Os (0.233, 0.890, 0.465)
Ac (0.396, 0.563, 0.343)
Ac (0.288, 0.781, 0.969)
Ac (0.687, 0.983, 0.271)
Ac (0.795, 0.765, 0.645)
Ac (0.998, 0.361, 0.005)
Ac (0.085, 0.185, 0.609)
Sn (0.451, 0.454, 0.734)
Sn (0.632, 0.092, 0.880)

Values from the calculation:
- Calculated density: 9.08 g/cm³

Each structure's energy above the most stable one, in meV per atom: version 1 64; version 2 0.